1.
SrLi5Cd3: optimized geometry, PBE-GGA.

Cell and atoms, written as POSCAR:
```
SrLi5Cd3
1.0
2.456 -6.448 0.000
2.456 6.448 0.000
0.000 0.000 13.180
Sr Li Cd
2 10 6
Direct
0.088 0.912 0.750
0.912 0.088 0.250
0.000 0.000 0.000
0.000 0.000 0.500
0.200 0.800 0.028
0.200 0.800 0.472
0.375 0.625 0.642
0.375 0.625 0.858
0.625 0.375 0.142
0.625 0.375 0.358
0.800 0.200 0.528
0.800 0.200 0.972
0.208 0.792 0.250
0.407 0.593 0.070
0.407 0.593 0.430
0.593 0.407 0.570
0.593 0.407 0.930
0.792 0.208 0.750
```

Results
Crystal system ... orthorhombic
DFT formation energy ... -0.1500 eV/atom
Symmetry ... Cmcm
Spin magnetization ... 0.0 μB per cell

2.
SbIr2Au: optimized geometry, PBE-GGA.

Cell and atoms, written as POSCAR:
```
SbIr2Au
1.0
1.541 0.890 8.484
-1.541 0.890 8.484
0.000 -1.780 8.484
Sb Ir Au
1 2 1
Direct
0.000 0.000 0.000
0.254 0.254 0.254
0.746 0.746 0.746
0.500 0.500 0.500
```

Results
Crystal system ... trigonal
Symmetry ... R-3m
E_tot ... -5.92 eV per atom
Spin magnetization ... 0.0 μB per cell

Please write out number 2 again, unchanged.
SbIr2Au: optimized geometry, PBE-GGA.

Cell and atoms, written as POSCAR:
```
SbIr2Au
1.0
1.541 0.890 8.484
-1.541 0.890 8.484
0.000 -1.780 8.484
Sb Ir Au
1 2 1
Direct
0.000 0.000 0.000
0.254 0.254 0.254
0.746 0.746 0.746
0.500 0.500 0.500
```

Results
Crystal system ... trigonal
Symmetry ... R-3m
E_tot ... -5.92 eV per atom
Spin magnetization ... 0.0 μB per cell

Which formula does entry 1 have? SrLi5Cd3

Which formula does entry 1 have? SrLi5Cd3